Computed, not measured: a geometry-optimized ScNi2H2 structure at the PBE level of DFT.

Lattice parameters (Å, degrees): 4.751 4.751 4.751 138.81 138.81 59.66
Element x y z (fractional)
1 Sc 0.000 0.000 0.000
2 Ni 0.335 0.335 0.000
3 Ni 0.665 0.665 0.000
4 H 0.250 0.750 0.500
5 H 0.750 0.250 0.500

Properties
Total moment = 0.00 μB/f.u.
Energy above the most stable polymorph in this dataset = 0.0000 eV/atom



Computed, not measured: a geometry-optimized Sc2NiHSe structure at the PBE level of DFT.

Lattice parameters (Å, degrees): 4.611 4.611 3.401 90.00 90.00 90.00
Element x y z (fractional)
1 Sc 0.000 0.500 0.000
2 Sc 0.500 0.000 0.000
3 Ni 0.000 0.000 0.500
4 H 0.000 0.000 0.000
5 Se 0.500 0.500 0.500

Properties
Uncorrected energy = -0.210 Ha/atom
Total moment = 0.03 μB/f.u.



Computed, not measured: a geometry-optimized ScSiNiH structure at the PBE level of DFT.

Lattice parameters (Å, degrees): 3.740 3.740 6.782 90.00 90.00 90.00
Element x y z (fractional)
1 Sc 0.250 0.250 0.152
2 Sc 0.750 0.750 0.848
3 Si 0.250 0.250 0.693
4 Si 0.750 0.750 0.307
5 Ni 0.250 0.750 0.500
6 Ni 0.750 0.250 0.500
7 H 0.250 0.750 0.000
8 H 0.750 0.250 0.000

Properties
Uncorrected energy = -0.218 Ha/atom
Total moment = 0.00 μB/f.u.



Computed, not measured: a geometry-optimized ScSiNi2H structure at the PBE level of DFT.

Lattice parameters (Å, degrees): 5.215 5.215 6.634 90.00 90.00 139.66
Element x y z (fractional)
1 Sc 0.057 0.943 0.750
2 Sc 0.943 0.057 0.250
3 Si 0.226 0.774 0.250
4 Si 0.774 0.226 0.750
5 Ni 0.339 0.661 0.557
6 Ni 0.339 0.661 0.943
7 Ni 0.661 0.339 0.057
8 Ni 0.661 0.339 0.443
9 H 0.500 0.500 0.000
10 H 0.500 0.500 0.500

Properties
Uncorrected energy = -0.222 Ha/atom
Total moment = 0.00 μB/f.u.



Computed, not measured: a geometry-optimized Sc2Ni6SnH structure at the PBE level of DFT.

Lattice parameters (Å, degrees): 5.121 5.131 6.676 67.72 67.45 60.09
Element x y z (fractional)
1 Sc 0.230 0.239 0.301
2 Sc 0.770 0.761 0.699
3 Ni 0.224 0.705 0.847
4 Ni 0.227 0.214 0.835
5 Ni 0.277 0.786 0.164
6 Ni 0.723 0.214 0.836
7 Ni 0.773 0.786 0.165
8 Ni 0.776 0.295 0.153
9 Sn 0.500 0.500 0.500
10 H 0.000 0.000 0.000

Properties
Uncorrected energy = -0.212 Ha/atom
Total moment = 0.00 μB/f.u.



Computed, not measured: a geometry-optimized Sc2NiSnH structure at the PBE level of DFT.

Lattice parameters (Å, degrees): 4.459 4.459 3.820 90.00 90.00 90.00
Element x y z (fractional)
1 Sc 0.000 0.500 0.000
2 Sc 0.500 0.000 0.000
3 Ni 0.000 0.000 0.500
4 Sn 0.500 0.500 0.500
5 H 0.000 0.000 0.000

Properties
Uncorrected energy = -0.208 Ha/atom
Total moment = 0.41 μB/f.u.



- What is the total moment in the first record?
  0.00 μB/f.u.



- The highest total moment belongs to which entry?
  Sc2NiSnH